Entry 1:
This record from Alexandria describes a relaxed Ge2AuI crystal. The functional is PBE-GGA.

The calculation puts the uncorrected formation energy at 0.225 eV/atom. Its density of states at the Fermi level is 1.00 states/eV/cell.

The space group is I-42d (No. 122) and the conventional cell measures 6.3359, 6.3359 and 12.6730 Å, with angles of 90.00, 90.00 and 90.00 degrees. The asymmetric unit holds Ge at (0.1714, 0.2500, 0.1250), Au at (0.0000, 0.0000, 0.0000) and I at (0.0000, 0.0000, 0.5000).

---

Entry 2:
This record from Alexandria describes a relaxed RbBeRh2Se crystal. The functional is PBE-GGA.

The calculation puts the uncorrected formation energy at 2.294 eV/atom. Its density of states at the Fermi level is 6.80 states/eV/cell.

The space group is P4/mmm (No. 123) and the conventional cell measures 4.8229, 4.8229 and 5.9322 Å, with angles of 90.00, 90.00 and 90.00 degrees. The asymmetric unit holds Rb at (0.0000, 0.0000, 0.0000), Be at (0.5000, 0.5000, 0.5000), Rh at (0.0000, 0.5000, 0.0000) and Se at (0.0000, 0.0000, 0.5000).

---

Entry 3:
This record from Alexandria describes a relaxed SiRh2W crystal. The functional is PBE-GGA.

The calculation puts the uncorrected formation energy at -0.126 eV/atom. Its density of states at the Fermi level is 3.91 states/eV/cell.

The space group is P4/mmm (No. 123) and the conventional cell measures 3.8459, 3.8459 and 3.8614 Å, with angles of 90.00, 90.00 and 90.00 degrees. The asymmetric unit holds Si at (0.0000, 0.0000, 0.0000), Rh at (0.0000, 0.5000, 0.5000) and W at (0.5000, 0.5000, 0.0000).

---

Entry 4:
This record from Alexandria describes a relaxed CoTcOs2 crystal. The functional is PBE-GGA.

Its density of states at the Fermi level is 4.99 states/eV/cell. As for the uncorrected energy: -9.842 eV per atom.

The space group is P2/m (No. 10) and the conventional cell measures 4.6159, 2.6907 and 4.6430 Å, with angles of 90.00, 109.72 and 90.00 degrees. The asymmetric unit holds Co at (0.0000, 0.0000, 0.0000), Tc at (0.0000, 0.5000, 0.5000), Os at (0.5000, 0.0000, 0.5000) and Os at (0.5000, 0.5000, 0.0000).